(1)
Compound: TbZrFePd
Source: Alexandria via LeMat-Bulk
Functional: PBE
Structure: optimized geometry

Lattice parameters (Å, degrees): 6.7201 6.7201 6.7201 90.00 90.00 90.00
Closest atoms and distances in Å follow each position.
Atoms (fractional coordinates):
Tb: 0.0000 0.0000 0.0000  4 Fe 2.91, 4 Pd 2.91
Tb: 0.0000 0.5000 0.5000  4 Fe 2.91, 4 Pd 2.91
Tb: 0.5000 0.0000 0.5000  4 Fe 2.91, 4 Pd 2.91
Tb: 0.5000 0.5000 0.0000  4 Fe 2.91, 4 Pd 2.91
Zr: 0.0000 0.0000 0.5000  4 Fe 2.91, 4 Pd 2.91
Zr: 0.0000 0.5000 0.0000  4 Fe 2.91, 4 Pd 2.91
Zr: 0.5000 0.0000 0.0000  4 Fe 2.91, 4 Pd 2.91
Zr: 0.5000 0.5000 0.5000  4 Pd 2.91, 4 Fe 2.91
Fe: 0.2500 0.2500 0.7500  4 Zr 2.91, 4 Tb 2.91
Fe: 0.2500 0.7500 0.2500  4 Zr 2.91, 4 Tb 2.91
Fe: 0.7500 0.2500 0.2500  4 Zr 2.91, 4 Tb 2.91
Fe: 0.7500 0.7500 0.7500  4 Zr 2.91, 4 Tb 2.91
Pd: 0.2500 0.2500 0.2500  4 Zr 2.91, 4 Tb 2.91
Pd: 0.2500 0.7500 0.7500  4 Zr 2.91, 4 Tb 2.91
Pd: 0.7500 0.2500 0.7500  4 Zr 2.91, 4 Tb 2.91
Pd: 0.7500 0.7500 0.2500  4 Zr 2.91, 4 Tb 2.91

Properties
Volume: 19.0 Å³/atom
DOS(E_F): 14.69 states/eV per cell
Final energy: -111.82 eV per cell
Formation energy: -280 meV/atom
Magnetization: 0.58 μB/f.u.

(2)
Compound: FeTcPd4
Source: Alexandria via LeMat-Bulk
Functional: PBE
Structure: optimized geometry

Lattice parameters (Å, degrees): 2.7468 2.7468 11.6649 90.00 90.00 90.00
Closest atoms and distances in Å follow each position.
Atoms (fractional coordinates):
Fe: 0.0000 0.0000 0.0000  8 Pd 2.66, 4 Fe 2.75
Tc: 0.5000 0.5000 0.5000  8 Pd 2.73, 4 Tc 2.75
Pd: 0.0000 0.0000 0.3358  4 Tc 2.73, 8 Pd 2.75-2.86
Pd: 0.0000 0.0000 0.6642  4 Tc 2.73, 8 Pd 2.75-2.86
Pd: 0.5000 0.5000 0.1554  4 Fe 2.66, 8 Pd 2.75-2.86
Pd: 0.5000 0.5000 0.8446  4 Fe 2.66, 8 Pd 2.75-2.86

Properties
Volume: 14.7 Å³/atom
DOS(E_F): 4.11 states/eV per cell
Final energy: -39.87 eV per cell
Formation energy: -45 meV/atom
Magnetization: 3.73 μB/f.u.

(3)
Compound: FeTc2Pd2
Source: Alexandria via LeMat-Bulk
Functional: PBE
Structure: optimized geometry

Lattice parameters (Å, degrees): 6.1056 6.1056 4.1719 90.00 90.00 90.00
Closest atoms and distances in Å follow each position.
Atoms (fractional coordinates):
Fe: 0.0000 0.0000 0.0000  4 Tc 2.38
Fe: 0.5000 0.5000 0.0000  4 Tc 2.38
Tc: 0.1344 0.3656 0.0000  1 Tc 2.32, 2 Fe 2.38
Tc: 0.3656 0.8656 0.0000  1 Tc 2.32, 2 Fe 2.38
Tc: 0.6344 0.1344 0.0000  1 Tc 2.32, 2 Fe 2.38
Tc: 0.8656 0.6344 0.0000  1 Tc 2.32, 2 Fe 2.38
Pd: 0.1651 0.6651 0.5000  6 Tc 2.71-2.78, 1 Pd 2.85
Pd: 0.3349 0.1651 0.5000  6 Tc 2.71-2.78, 1 Pd 2.85
Pd: 0.6651 0.8349 0.5000  6 Tc 2.71-2.78, 1 Pd 2.85
Pd: 0.8349 0.3349 0.5000  6 Tc 2.71-2.78, 1 Pd 2.85

Properties
Relative energy among the computed polymorphs: 0.000 eV per atom
Volume: 15.6 Å³/atom
DOS(E_F): 7.92 states/eV per cell
Final energy: -74.63 eV per cell
Formation energy: 453 meV/atom
Magnetization: 2.00 μB/f.u.

(4)
Compound: Fe4TcPd
Source: Alexandria via LeMat-Bulk
Functional: PBE
Structure: optimized geometry

Lattice parameters (Å, degrees): 4.7186 4.7186 4.7186 60.00 60.00 60.00
Closest atoms and distances in Å follow each position.
Atoms (fractional coordinates):
Fe: 0.1249 0.1249 0.1249  6 Fe 2.36
Fe: 0.1249 0.1249 0.6252  6 Fe 2.36
Fe: 0.1249 0.6252 0.1249  6 Fe 2.36
Fe: 0.6252 0.1249 0.1249  6 Fe 2.36
Tc: 0.7500 0.7500 0.7500  12 Fe 2.77, 4 Pd 2.89
Pd: 0.5000 0.5000 0.5000  12 Fe 2.77, 4 Tc 2.89

Properties
Volume: 12.4 Å³/atom
DOS(E_F): 3.76 states/eV per cell
Final energy: -49.04 eV per cell
Formation energy: 61 meV/atom
Magnetization: 6.87 μB/f.u.

(5)
Compound: FeTc2Pd2
Source: Alexandria via LeMat-Bulk
Functional: PBE
Structure: optimized geometry

Lattice parameters (Å, degrees): 3.7028 3.7028 11.9638 90.00 90.00 90.00
Closest atoms and distances in Å follow each position.
Atoms (fractional coordinates):
Fe: 0.0000 0.0000 0.0000  8 Tc 2.83
Fe: 0.5000 0.5000 0.5000  8 Tc 2.83
Tc: 0.0000 0.0000 0.4093  1 Tc 2.17
Tc: 0.0000 0.0000 0.5907  1 Tc 2.17
Tc: 0.5000 0.5000 0.0907  1 Tc 2.17
Tc: 0.5000 0.5000 0.9093  1 Tc 2.17
Pd: 0.0000 0.5000 0.2500  4 Pd 2.62, 4 Tc 2.66
Pd: 0.0000 0.5000 0.7500  4 Pd 2.62, 4 Tc 2.66
Pd: 0.5000 0.0000 0.2500  4 Pd 2.62, 4 Tc 2.66
Pd: 0.5000 0.0000 0.7500  4 Pd 2.62, 4 Tc 2.66

Properties
Relative energy among the computed polymorphs: 0.099 eV per atom
Volume: 16.4 Å³/atom
DOS(E_F): 12.52 states/eV per cell
Final energy: -73.64 eV per cell
Formation energy: 552 meV/atom
Magnetization: 2.85 μB/f.u.

(6)
Compound: Fe2Tc2Pd
Source: Alexandria via LeMat-Bulk
Functional: PBE
Structure: optimized geometry

Lattice parameters (Å, degrees): 7.0400 7.0400 2.6746 90.00 90.00 90.00
Closest atoms and distances in Å follow each position.
Atoms (fractional coordinates):
Fe: 0.1248 0.3752 0.0000  6 Tc 2.46-2.48, 3 Fe 2.49-2.67
Fe: 0.3752 0.8752 0.0000  6 Tc 2.46-2.48, 3 Fe 2.49-2.67
Fe: 0.6248 0.1248 0.0000  6 Tc 2.46-2.48, 3 Fe 2.49-2.67
Fe: 0.8752 0.6248 0.0000  6 Tc 2.46-2.48, 3 Fe 2.49-2.67
Tc: 0.1683 0.6683 0.5000  6 Fe 2.46-2.48, 2 Tc 2.67
Tc: 0.3317 0.1683 0.5000  6 Fe 2.46-2.48, 2 Tc 2.67
Tc: 0.6683 0.8317 0.5000  6 Fe 2.46-2.48, 2 Tc 2.67
Tc: 0.8317 0.3317 0.5000  6 Fe 2.46-2.48, 2 Tc 2.67
Pd: 0.0000 0.0000 0.0000  2 Pd 2.67, 4 Fe 2.78, 8 Tc 2.94
Pd: 0.5000 0.5000 0.0000  2 Pd 2.67, 4 Fe 2.78, 8 Tc 2.94

Properties
Volume: 13.3 Å³/atom
DOS(E_F): 11.64 states/eV per cell
Final energy: -84.47 eV per cell
Formation energy: 124 meV/atom
Magnetization: 0.00 μB/f.u.